Compound: LaMoClO4
Source: the Alexandria database
Functional: PBE+U
Structure: relaxed

Properties
total moment = 0.00 μB/cell
offset from the most stable computed form = 0.0 meV per atom
ρ = 3.9 g cm⁻³
raw total energy = -199.802 eV for the cell shown

abc: 10.677 7.667 7.167
angles: 90.00 106.40 90.00
Space group C2/m (No. 12)
Unique sites:
La1 0.223 0.000 0.121 [4 per cell]
Mo1 0.138 0.500 0.266 [4 per cell]
Cl1 0.015 0.000 0.767 [4 per cell]
O1 0.035 0.500 0.788 [4 per cell]
O2 0.194 0.317 0.150 [8 per cell]
O3 0.208 0.500 0.522 [4 per cell]